Record 1
Tm2TiGe3Pt4 | PBE-GGA | relaxed

Cell: 4.0700 4.0700 11.1439 Å, 90.00 90.00 90.00°
Space group P-4m2 (No. 115)
One atom of each set of equivalent atoms:
Tm 0.0000 0.5000 0.2331
Ti 0.0000 0.0000 0.5000
Ge 0.0000 0.5000 0.8590
Ge 0.5000 0.5000 0.5000
Pt 0.0000 0.0000 0.0000
Pt 0.0000 0.5000 0.6419
Pt 0.5000 0.5000 0.0000

Summary:
The density comes out at 12.450 g/cm³. The value obtained for the formation energy is -0.92 eV per atom. Its crystal system is tetragonal.



Record 2
BeSiSb | PBE-GGA | relaxed

Cell: 3.7812 3.9623 8.0250 Å, 91.14 92.36 97.66°
Space group P1 (No. 1)
One atom of each set of equivalent atoms:
Be 0.0000 0.0000 0.0000
Be 0.4216 0.6814 0.9779
Si 0.0859 0.4693 0.7203
Si 0.5549 0.1914 0.8500
Sb 0.3019 0.9748 0.5165
Sb 0.9140 0.5085 0.1774

Summary:
The density comes out at 4.433 g/cm³. Its crystal system is triclinic. Its raw formation energy is 0.30 eV/atom.



Record 3
SmNpO6 | PBE-GGA | relaxed

Cell: 5.3619 10.0355 5.4490 Å, 90.00 109.20 90.00°
Space group C2 (No. 5)
One atom of each set of equivalent atoms:
Sm 0.0000 0.0000 0.0000
Np 0.0000 0.3096 0.5000
O 0.0566 0.8599 0.3985
O 0.0650 0.1719 0.7606
O 0.0706 0.4397 0.7738

Summary:
The density comes out at 5.798 g/cm³. Its crystal system is monoclinic. Its raw formation energy is -2.36 eV/atom.



Record 4
RbCuSeO4 | PBE-GGA | relaxed

Cell: 5.9511 5.9511 7.7755 Å, 90.00 90.00 90.00°
Space group I-4 (No. 82)
One atom of each set of equivalent atoms:
Rb 0.0000 0.0000 0.0000
Cu 0.0000 0.0000 0.5000
Se 0.0000 0.5000 0.2500
O 0.0969 0.7204 0.3715

Summary:
The density comes out at 3.521 g/cm³. Its crystal system is tetragonal. Its raw formation energy is -0.90 eV/atom.



Record 5
CaPrBi2 | PBE-GGA | relaxed

Cell: 4.8379 4.8379 21.4521 Å, 90.00 90.00 120.00°
Space group R3m (No. 160, hexagonal axes)
One atom of each set of equivalent atoms:
Ca 0.0000 0.0000 0.0000
Pr 0.0000 0.0000 0.1758
Bi 0.0000 0.0000 0.4190
Bi 0.0000 0.0000 0.5858

Summary:
The density comes out at 6.862 g/cm³. The value obtained for the formation energy is -0.69 eV per atom. Its crystal system is trigonal.



Record 6
LaHoCuPt | PBE-GGA | relaxed

Cell: 4.5219 3.8641 10.7934 Å, 90.00 90.00 90.00°
Space group Amm2 (No. 38)
One atom of each set of equivalent atoms:
La 0.0000 0.0000 0.0000
Ho 0.5000 0.0000 0.2754
Cu 0.5000 0.0000 0.5660
Pt 0.0000 0.0000 0.7213

Summary:
The density comes out at 9.905 g/cm³. The value obtained for the formation energy is -0.73 eV per atom. Its crystal system is orthorhombic.